[1]
## CeHo2Bi (GGA-PBE)

Data for crystalline CeHo2Bi at its relaxed geometry.

Cell and atoms, written as extended XYZ:
```
4
Lattice="3.572 0.000 0.000 1.786 3.093 0.000 1.786 1.031 10.881" Properties=species:S:1:pos:R:3 pbc="T T T"
Bi 0.000 0.000 0.000
Ce 3.572 2.062 5.440
Ho 1.786 1.031 2.634
Ho 5.358 3.093 8.246
```

Computed properties:
The energy relative to the lowest polymorph listed for this composition is 164 meV/atom. As for the symmetry: R-3m (166). As for the total energy: -4.9056 eV per atom.


[2]
## Ti2ReHgIr (GGA-PBE)

Data for crystalline Ti2ReHgIr at its relaxed geometry.

Cell and atoms, written as extended XYZ:
```
5
Lattice="-0.762 -0.149 -4.739 3.941 -2.794 -0.546 -2.707 -3.927 0.559" Properties=species:S:1:pos:R:3 pbc="T T T"
Re 0.236 -3.435 -2.363
Ir 1.971 -1.397 -0.273
Hg 0.000 0.000 0.000
Ti -1.353 -1.963 0.279
Ti -0.381 -0.074 -2.369
```

Computed properties:
As for the symmetry: P4/mmm (123). As for the total energy: -5.4396 eV per atom.


[3]
## CaYSe3 (GGA-PBE)

Data for crystalline CaYSe3 at its relaxed geometry.

Cell and atoms, written as extended XYZ:
```
5
Lattice="5.283 0.000 0.000 0.000 5.283 0.000 0.000 0.000 5.283" Properties=species:S:1:pos:R:3 pbc="T T T"
Y 2.641 2.641 2.641
Ca 0.000 0.000 0.000
Se 0.000 2.641 0.000
Se 0.000 0.000 2.641
Se 2.641 0.000 0.000
```

Computed properties:
The energy relative to the lowest polymorph listed for this composition is 504 meV/atom. The calculation puts the uncorrected formation energy at -0.69 eV per atom. As for the symmetry: Pm-3m (221). As for the total energy: -4.4703 eV per atom.


[4]
## GdYMnGa (GGA-PBE)

Data for crystalline GdYMnGa at its relaxed geometry.

Cell and atoms, written as extended XYZ:
```
4
Lattice="5.071 0.000 0.000 2.536 4.392 0.000 2.536 1.464 4.141" Properties=species:S:1:pos:R:3 pbc="T T T"
Y 2.536 1.464 1.035
Mn 0.000 0.000 0.000
Gd 7.607 4.392 3.105
Ga 5.071 2.928 2.070
```

Computed properties:
As for the symmetry: F-43m (216). As for the total energy: -8.3571 eV per atom.


[5]
## SrTcPdO6 (GGA-PBE)

Data for crystalline SrTcPdO6 at its relaxed geometry.

Cell and atoms, written as extended XYZ:
```
9
Lattice="5.312 0.000 0.000 2.656 4.601 0.000 0.000 0.000 5.301" Properties=species:S:1:pos:R:3 pbc="T T T"
Sr 5.312 0.000 5.301
Tc 5.312 3.067 2.651
Pd 2.656 1.533 2.651
O 6.282 1.794 1.565
O 4.695 4.544 3.737
O 4.342 1.794 3.737
O 6.900 2.864 3.737
O 3.725 2.864 1.565
O 5.930 4.544 1.565
```

Computed properties:
The calculation puts the uncorrected formation energy at -1.40 eV per atom. As for the symmetry: P312 (149). As for the total energy: -6.6243 eV per atom.


[6]
## ReTe3 (GGA-PBE)

Data for crystalline ReTe3 at its relaxed geometry.

Cell and atoms, written as extended XYZ:
```
4
Lattice="4.075 0.032 -0.096 2.726 3.030 -0.096 0.094 0.043 8.640" Properties=species:S:1:pos:R:3 pbc="T T T"
Re 0.000 0.000 0.000
Te 3.448 1.552 4.224
Te 4.815 2.167 6.959
Te 2.081 0.937 1.489
```

Computed properties:
The energy relative to the lowest polymorph listed for this composition is 103 meV/atom. The calculation puts the uncorrected formation energy at 0.31 eV per atom. As for the symmetry: C2/m (12). As for the total energy: -5.1580 eV per atom.


[7]
## PmTh2MoC4 (GGA-PBE)

Data for crystalline PmTh2MoC4 at its relaxed geometry.

Cell and atoms, written as extended XYZ:
```
16
Lattice="3.652 0.000 0.000 -1.826 6.190 0.000 0.000 0.000 12.818" Properties=species:S:1:pos:R:3 pbc="T T T"
Pm 0.000 1.286 9.613
Pm 1.826 4.904 3.204
Th 0.000 4.560 6.921
Th 1.826 1.629 0.512
Th 1.826 1.629 5.897
Th 0.000 4.560 12.306
Mo 1.826 4.133 9.613
Mo 0.000 2.057 3.204
C 0.000 3.285 1.700
C 1.826 2.904 8.109
C 1.826 2.904 11.118
C 0.000 3.285 4.709
C 0.000 0.000 6.409
C 0.000 0.000 0.000
C 0.000 5.176 9.613
C 1.826 1.013 3.204
```

Computed properties:
As for the symmetry: Cmcm (63). As for the total energy: -8.4530 eV per atom.


[8]
## NaSr8Au4 (GGA-PBE)

Data for crystalline NaSr8Au4 at its relaxed geometry.

Cell and atoms, written as extended XYZ:
```
13
Lattice="4.452 0.000 0.964 2.020 10.778 1.430 -0.168 0.047 11.534" Properties=species:S:1:pos:R:3 pbc="T T T"
Na 2.138 0.056 11.644
Sr 1.259 3.552 4.943
Sr 3.776 7.123 4.081
Sr 2.685 3.735 9.120
Sr 5.202 7.310 8.259
Sr 5.759 10.720 5.687
Sr 2.163 7.273 11.529
Sr 0.703 0.139 7.513
Sr 4.298 3.584 1.672
Au 3.253 9.002 6.499
Au 4.662 5.522 10.751
Au 1.799 5.336 2.451
Au 3.209 1.858 6.701
```

Computed properties:
As for the symmetry: Cm (8). As for the total energy: -2.6416 eV per atom.